[1]
Computed, not measured: an optimized crystal structure of MgNbSe2N at the PBE-GGA level of DFT.

a = 5.0213 Å, b = 5.0213 Å, c = 3.8406 Å
α = 90.00°, β = 90.00°, γ = 90.00°
Last column: nearest neighbours and their distance in Å.
Fractional positions:
Nb (0.5000, 0.5000, 0.5000)  8 Se 3.16
Mg (0.0000, 0.0000, 0.0000)  2 N 1.92
Se (0.0000, 0.5000, 0.0000)  2 Mg 2.51
Se (0.5000, 0.0000, 0.0000)  2 Mg 2.51
N (0.0000, 0.0000, 0.5000)  2 Mg 1.92

Output
total magnetic moment: 0.0 μB/cell
formation energy from raw total energies: 0.6524 eV per atom
density of states at the Fermi level: 3.24 states/eV/f.u.



[2]
Computed, not measured: an optimized crystal structure of Pm4Y3Ho at the PBE-GGA level of DFT.

a = 3.4939 Å, b = 6.8145 Å, c = 11.9587 Å
α = 106.27°, β = 98.40°, γ = 90.00°
Last column: nearest neighbours and their distance in Å.
Fractional positions:
Y (0.0000, 0.5000, 0.0000)  2 Pm 3.30, 4 Y 3.31-3.49
Y (0.1232, 0.8814, 0.2464)  3 Y 3.31-3.49, 5 Pm 3.31-3.58, 2 Ho 3.68
Y (0.8768, 0.1186, 0.7536)  3 Y 3.31-3.49, 5 Pm 3.31-3.58, 2 Ho 3.68
Ho (0.5000, 0.0000, 0.0000)  2 Ho 3.49, 8 Y 3.68-3.83, 4 Pm 3.71
Pm (0.7403, 0.2385, 0.4806)  9 Pm 3.49-3.88, 3 Y 3.55-3.58
Pm (0.2597, 0.7615, 0.5194)  9 Pm 3.49-3.88, 3 Y 3.55-3.58
Pm (0.1237, 0.3683, 0.2475)  3 Y 3.30-3.50, 5 Pm 3.49-3.58
Pm (0.8763, 0.6317, 0.7525)  3 Y 3.30-3.50, 5 Pm 3.49-3.58

Output
total magnetic moment: 0.0 μB/cell
density of states at the Fermi level: 14.46 states/eV/f.u.
calculated formation energy: 1.3 eV/f.u.